Model a:
! In5Ga2Hg2 (GGA-PBE, relaxed); values from VASP
&SYSTEM
  ibrav = 0, nat = 18, ntyp = 3
/
ATOMIC_SPECIES
In 114.82 In.upf
Ga 69.72 Ga.upf
Hg 200.59 Hg.upf
CELL_PARAMETERS angstrom
-8.1172 4.0833 3.5578
8.1172 -4.0833 3.5578
8.1172 4.0833 -3.5578
ATOMIC_POSITIONS crystal
In 0.1848 0.5777 0.9162
In 0.1848 0.7686 0.1071
In 0.1984 0.0870 0.2855
In 0.1984 0.4130 0.6114
In 0.5582 0.4136 0.6447
In 0.6615 0.0777 0.8929
In 0.6615 0.2686 0.0838
In 0.7689 0.9136 0.3553
In 0.8016 0.5870 0.3886
In 0.8016 0.9130 0.7145
Ga 0.6606 0.1093 0.3935
Ga 0.6606 0.7671 0.0513
Ga 0.7157 0.2671 0.6065
Ga 0.7157 0.6093 0.9487
Hg 0.1446 0.9124 0.7322
Hg 0.1803 0.4124 0.2678
Hg 0.2883 0.2883 0.0000
Hg 0.2883 0.7883 0.5000
! Fermi-level density of states = 8.624 states/eV per cell
! Calculated volume = 26.205 Å³/atom


Model b:
! In5Ga2Hg2 (GGA-PBE, relaxed); values from VASP
&SYSTEM
  ibrav = 0, nat = 18, ntyp = 3
/
ATOMIC_SPECIES
In 114.82 In.upf
Ga 69.72 Ga.upf
Hg 200.59 Hg.upf
CELL_PARAMETERS angstrom
5.7582 0.0000 0.0000
-0.3966 9.5053 0.0000
-0.1196 -4.7314 8.3522
ATOMIC_POSITIONS crystal
In 0.0000 0.0000 0.0000
In 0.0043 0.6210 0.7103
In 0.1628 0.7009 0.4349
In 0.3015 0.7441 0.1227
In 0.3695 0.3977 0.7931
In 0.4808 0.1499 0.2141
In 0.5045 0.8190 0.8542
In 0.6365 0.5329 0.2445
In 0.8269 0.9202 0.2884
In 0.8557 0.2358 0.6566
Ga 0.2335 0.0372 0.7401
Ga 0.3297 0.0583 0.4651
Ga 0.6291 0.2060 0.9404
Ga 0.8107 0.5888 0.9782
Hg 0.1178 0.3706 0.0720
Hg 0.5112 0.4797 0.5305
Hg 0.7030 0.8767 0.5859
Hg 0.9979 0.3008 0.3700
! Fermi-level density of states = 4.580 states/eV per cell
! Calculated volume = 25.397 Å³/atom


Most stable = model b


Model a:
! In8GaHg2 (GGA-PBE, relaxed); values from VASP
&SYSTEM
  ibrav = 0, nat = 11, ntyp = 3
/
ATOMIC_SPECIES
In 114.82 In.upf
Ga 69.72 Ga.upf
Hg 200.59 Hg.upf
CELL_PARAMETERS angstrom
4.5892 -9.3787 0.0000
4.5892 9.3787 0.0000
-0.4752 0.0000 3.5506
ATOMIC_POSITIONS crystal
In 0.0605 0.2967 0.5851
In 0.2293 0.7707 0.0000
In 0.2967 0.0605 0.5851
In 0.3475 0.3475 0.1316
In 0.6525 0.6525 0.8684
In 0.7033 0.9395 0.4149
In 0.7707 0.2293 0.0000
In 0.9395 0.7033 0.4149
Ga 0.0000 0.0000 0.0000
Hg 0.3594 0.6406 0.5000
Hg 0.6406 0.3594 0.5000
! Fermi-level density of states = 4.500 states/eV per cell
! Calculated volume = 27.785 Å³/atom


Model b:
! In8GaHg2 (GGA-PBE, relaxed); values from VASP
&SYSTEM
  ibrav = 0, nat = 11, ntyp = 3
/
ATOMIC_SPECIES
In 114.82 In.upf
Ga 69.72 Ga.upf
Hg 200.59 Hg.upf
CELL_PARAMETERS angstrom
9.0434 -2.2770 0.0000
9.0434 2.2770 0.0000
-2.1278 0.0000 6.9624
ATOMIC_POSITIONS crystal
In 0.0395 0.0395 0.2442
In 0.1413 0.1413 0.6945
In 0.3217 0.3217 0.5853
In 0.4096 0.4096 0.0436
In 0.5904 0.5904 0.9564
In 0.6783 0.6783 0.4147
In 0.8587 0.8587 0.3055
In 0.9605 0.9605 0.7558
Ga 0.5000 0.5000 0.5000
Hg 0.2226 0.2226 0.1410
Hg 0.7774 0.7774 0.8590
! Fermi-level density of states = 3.764 states/eV per cell
! Calculated volume = 26.066 Å³/atom


Most stable = model b


Model a:
! In2GaHg4 (GGA-PBE, relaxed); values from VASP
&SYSTEM
  ibrav = 0, nat = 7, ntyp = 3
/
ATOMIC_SPECIES
In 114.82 In.upf
Ga 69.72 Ga.upf
Hg 200.59 Hg.upf
CELL_PARAMETERS angstrom
2.4031 1.3875 9.4888
-2.4031 1.3875 9.4888
0.0000 -2.7749 9.4888
ATOMIC_POSITIONS crystal
In 0.2473 0.2473 0.2473
In 0.7527 0.7527 0.7527
Ga 0.0000 0.0000 0.0000
Hg 0.1352 0.1352 0.1352
Hg 0.3748 0.3748 0.3748
Hg 0.6252 0.6252 0.6252
Hg 0.8648 0.8648 0.8648
! Fermi-level density of states = 1.724 states/eV per cell
! Calculated volume = 27.118 Å³/atom


Model b:
! In2GaHg4 (GGA-PBE, relaxed); values from VASP
&SYSTEM
  ibrav = 0, nat = 28, ntyp = 3
/
ATOMIC_SPECIES
In 114.82 In.upf
Ga 69.72 Ga.upf
Hg 200.59 Hg.upf
CELL_PARAMETERS angstrom
5.9409 0.0000 0.0000
0.0000 7.2679 0.0000
0.0000 0.0000 16.8669
ATOMIC_POSITIONS crystal
In 0.1308 0.2172 0.1225
In 0.1308 0.2828 0.6225
In 0.3692 0.7172 0.1225
In 0.3692 0.7828 0.6225
In 0.6308 0.2172 0.3775
In 0.6308 0.2828 0.8775
In 0.8692 0.7172 0.3775
In 0.8692 0.7828 0.8775
Ga 0.0000 0.0000 0.5000
Ga 0.0000 0.5000 0.0000
Ga 0.5000 0.0000 0.0000
Ga 0.5000 0.5000 0.5000
Hg 0.0869 0.0417 0.2852
Hg 0.0869 0.4583 0.7852
Hg 0.1008 0.1433 0.9245
Hg 0.1008 0.3567 0.4245
Hg 0.3992 0.6433 0.9245
Hg 0.3992 0.8567 0.4245
Hg 0.4131 0.5417 0.2852
Hg 0.4131 0.9583 0.7852
Hg 0.5869 0.0417 0.2148
Hg 0.5869 0.4583 0.7148
Hg 0.6008 0.1433 0.5755
Hg 0.6008 0.3567 0.0755
Hg 0.8992 0.6433 0.5755
Hg 0.8992 0.8567 0.0755
Hg 0.9131 0.5417 0.2148
Hg 0.9131 0.9583 0.7148
! Fermi-level density of states = 9.668 states/eV per cell
! Calculated volume = 26.010 Å³/atom


Most stable = model a


Model a:
! In5GaHg2 (GGA-PBE, relaxed); values from VASP
&SYSTEM
  ibrav = 0, nat = 16, ntyp = 3
/
ATOMIC_SPECIES
In 114.82 In.upf
Ga 69.72 Ga.upf
Hg 200.59 Hg.upf
CELL_PARAMETERS angstrom
7.0353 0.0000 0.0000
0.0000 12.7314 0.0000
0.0000 0.0000 4.6092
ATOMIC_POSITIONS crystal
In 0.0000 0.0000 0.0000
In 0.0663 0.2565 0.0000
In 0.1943 0.6090 0.5000
In 0.3057 0.1090 0.5000
In 0.4337 0.7565 0.0000
In 0.5000 0.5000 0.0000
In 0.5663 0.2435 0.0000
In 0.6943 0.8910 0.5000
In 0.8057 0.3910 0.5000
In 0.9337 0.7435 0.0000
Ga 0.0000 0.5000 0.0000
Ga 0.5000 0.0000 0.0000
Hg 0.1946 0.8652 0.5000
Hg 0.3054 0.3652 0.5000
Hg 0.6946 0.6348 0.5000
Hg 0.8054 0.1348 0.5000
! Fermi-level density of states = 6.865 states/eV per cell
! Calculated volume = 25.803 Å³/atom


Model b:
! In5GaHg2 (GGA-PBE, relaxed); values from VASP
&SYSTEM
  ibrav = 0, nat = 16, ntyp = 3
/
ATOMIC_SPECIES
In 114.82 In.upf
Ga 69.72 Ga.upf
Hg 200.59 Hg.upf
CELL_PARAMETERS angstrom
-4.1385 4.1385 6.0931
4.1385 -4.1385 6.0931
4.1385 4.1385 -6.0931
ATOMIC_POSITIONS crystal
In 0.0000 0.0000 0.0000
In 0.0110 0.5110 0.1950
In 0.1840 0.9890 0.5000
In 0.3160 0.8160 0.8050
In 0.4890 0.6840 0.5000
In 0.5000 0.5000 0.0000
In 0.5110 0.3160 0.5000
In 0.6840 0.1840 0.1950
In 0.8160 0.0110 0.5000
In 0.9890 0.4890 0.8050
Ga 0.2500 0.2500 0.0000
Ga 0.7500 0.7500 0.0000
Hg 0.1467 0.3533 0.5000
Hg 0.3533 0.8533 0.2065
Hg 0.6467 0.1467 0.7935
Hg 0.8533 0.6467 0.5000
! Fermi-level density of states = 8.756 states/eV per cell
! Calculated volume = 26.089 Å³/atom


Most stable = model a